(1)
{
  "formula": "La2MgAu",
  "functional": "PBE",
  "state": "optimized geometry",
  "lattice": [[-9.351, -1.285, -2.042], [-7.650, -3.304, -4.880], [-8.187, -4.926, -1.401]],
  "species": ["Au", "La", "La", "Mg"],
  "fractional_positions": [[0.760, 0.760, 0.760], [0.016, 0.016, 0.016], [0.244, 0.244, 0.244], [0.480, 0.480, 0.480]],
  "ef_ev_per_atom": -0.242,
  "density_g_cm3": 6.8
}

=====

(2)
{
  "formula": "Pm3Y2Pt2",
  "functional": "PBE",
  "state": "optimized geometry",
  "lattice": [[-3.503, -0.276, 1.552], [1.355, -5.769, -2.721], [3.597, 1.129, 8.321]],
  "species": ["Pm", "Pm", "Pm", "Y", "Y", "Pt", "Pt"],
  "fractional_positions": [[0.500, 0.000, 0.000], [0.614, 0.228, 0.435], [0.386, 0.772, 0.565], [0.834, 0.668, 0.186], [0.166, 0.332, 0.814], [0.824, 0.648, 0.765], [0.176, 0.352, 0.235]],
  "ef_ev_per_atom": -0.722,
  "density_g_cm3": 8.4
}

=====

(3)
{
  "formula": "AlRu2Cl",
  "functional": "PBE",
  "state": "optimized geometry",
  "lattice": [[2.990, 0.000, 0.000], [0.000, 2.990, 0.000], [0.000, 0.000, 6.469]],
  "species": ["Ru", "Ru", "Al", "Cl"],
  "fractional_positions": [[0.000, 0.000, 0.022], [0.000, 0.000, 0.478], [0.500, 0.500, 0.250], [0.500, 0.500, 0.750]],
  "raw_formation_energy_ev_per_atom": 0.150,
  "de_polymorph_mev_per_atom": 255,
  "density_g_cm3": 7.6
}

=====

(4)
{
  "formula": "Ti4Be2C",
  "functional": "PBE",
  "state": "optimized geometry",
  "lattice": [[4.070, 0.000, 0.000], [0.000, 4.070, 0.000], [2.035, 2.035, 6.053]],
  "species": ["Be", "Be", "C", "Ti", "Ti", "Ti", "Ti"],
  "fractional_positions": [[0.378, 0.378, 0.244], [0.622, 0.622, 0.756], [0.000, 0.000, 0.000], [0.173, 0.173, 0.654], [0.827, 0.827, 0.346], [0.000, 0.500, 0.000], [0.500, 0.000, 0.000]],
  "ef_ev_per_atom": -0.075,
  "density_g_cm3": 3.7
}

=====

(5)
{
  "formula": "Ta3VRh",
  "functional": "PBE",
  "state": "optimized geometry",
  "lattice": [[-4.736, 0.604, -0.390], [0.257, -1.003, -4.677], [-0.672, -4.645, 0.959]],
  "species": ["Ta", "Ta", "Ta", "Rh", "V"],
  "fractional_positions": [[0.000, 0.500, 0.000], [0.000, 0.000, 0.500], [0.500, 0.000, 0.000], [0.000, 0.000, 0.000], [0.500, 0.500, 0.500]],
  "ef_ev_per_atom": 1.291,
  "de_polymorph_mev_per_atom": 142,
  "density_g_cm3": 10.5
}

=====

(6)
{
  "formula": "Er3PbSeO",
  "functional": "PBE",
  "state": "optimized geometry",
  "lattice": [[-0.217, 2.049, -3.372], [-7.930, -3.514, -1.625], [-2.053, 7.299, 4.567]],
  "species": ["Er", "Er", "Er", "Er", "Er", "Er", "Pb", "Pb", "Se", "Se", "O", "O"],
  "fractional_positions": [[0.250, 0.840, 0.483], [0.750, 0.892, 0.146], [0.750, 0.422, 0.162], [0.750, 0.160, 0.517], [0.250, 0.578, 0.838], [0.250, 0.108, 0.854], [0.750, 0.821, 0.774], [0.250, 0.179, 0.226], [0.250, 0.655, 0.165], [0.750, 0.345, 0.835], [0.250, 0.088, 0.596], [0.750, 0.912, 0.404]],
  "raw_formation_energy_ev_per_atom": -1.703,
  "density_g_cm3": 8.9
}

=====

Record order is preserved below.
D(E_F): 1.192; 1.235; 0.859; 0.825; 1.185; 0.321 states/eV/atom
Record order is preserved below.
Magnetic moment: 0.0001; 0.0000; 0.0000; 0.0000; 0.6391; 0.0000 μB/atom
Record order is preserved below.
Volume: 122.2; 197.8; 57.8; 100.3; 109.9; 301.4 Å³ per cell